[1]
Y2BeCr at its PBEsol-relaxed geometry. Source: Alexandria via LeMat-Bulk, functional SCAN.

- D(E_F) (states/eV per cell) = 1.9
- total magnetic moment (μB per formula unit) = 3.4
- theoretical density (g/cm3) = 5.0
- DFT total energy (eV/atom) = -19.304
- symmetry = I-4m2 (119)
- ΔE_f (kcal/mol of atoms) = 7.0

Unit cell a=5.3640 b=5.3640 c=5.3640 alpha=133.46 beta=133.46 gamma=67.94
Closest atoms and distances in Å follow each position.
Fractional coordinates of all 4 atoms:
Y 0.0000 0.0000 0.0000  4 Be 3.00, 4 Cr 3.07, 4 Y 3.07
Y 0.7500 0.2500 0.5000  4 Cr 3.00, 4 Be 3.07, 4 Y 3.07
Be 0.5000 0.5000 0.0000  8 Y 3.00-3.07, 4 Cr 3.07
Cr 0.2500 0.7500 0.5000  8 Y 3.00-3.07, 4 Be 3.07

=====

[2]
V4P3 at its PBEsol-relaxed geometry. Source: Alexandria via LeMat-Bulk, functional SCAN.

- D(E_F) (states/eV per cell) = 16.8
- total magnetic moment (μB per formula unit) = 0.0
- theoretical density (g/cm3) = 5.5
- DFT total energy (eV/atom) = -15.355
- symmetry = Cmcm (63)
- ΔE_f (kcal/mol of atoms) = -20.9

Unit cell a=6.7788 b=6.7788 c=16.9673 alpha=90.00 beta=90.00 gamma=152.66
Closest atoms and distances in Å follow each position.
Fractional coordinates of all 28 atoms:
V 0.0000 0.0000 0.0000  4 P 2.38-2.44, 4 V 2.61
V 0.0000 0.0000 0.5000  4 P 2.38-2.44, 4 V 2.61
V 0.0596 0.9404 0.7500  6 P 2.31-2.46
V 0.2646 0.7354 0.6607  6 P 2.30-2.52
V 0.2646 0.7354 0.8393  6 P 2.30-2.52
V 0.3309 0.6691 0.0270  5 P 2.39-2.44
V 0.3309 0.6691 0.4730  5 P 2.39-2.44
V 0.4675 0.5325 0.6190  5 P 2.32-2.40
V 0.4675 0.5325 0.8810  5 P 2.32-2.40
V 0.5325 0.4675 0.1190  5 P 2.32-2.40
V 0.5325 0.4675 0.3810  5 P 2.32-2.40
V 0.6691 0.3309 0.5270  5 P 2.39-2.44
V 0.6691 0.3309 0.9730  5 P 2.39-2.44
V 0.7354 0.2646 0.1607  6 P 2.30-2.52
V 0.7354 0.2646 0.3393  6 P 2.30-2.52
V 0.9404 0.0596 0.2500  6 P 2.31-2.46
P 0.0989 0.9011 0.6170  7 V 2.30-2.40
P 0.0989 0.9011 0.8830  7 V 2.30-2.40
P 0.1567 0.8433 0.0768  8 V 2.38-2.44
P 0.1567 0.8433 0.4232  8 V 2.38-2.44
P 0.3036 0.6964 0.2500  6 V 2.38-2.41
P 0.4178 0.5822 0.7500  6 V 2.32-2.52
P 0.5822 0.4178 0.2500  6 V 2.32-2.52
P 0.6964 0.3036 0.7500  6 V 2.38-2.41
P 0.8433 0.1567 0.5768  8 V 2.38-2.44
P 0.8433 0.1567 0.9232  8 V 2.38-2.44
P 0.9011 0.0989 0.1170  7 V 2.30-2.40
P 0.9011 0.0989 0.3830  7 V 2.30-2.40

=====

[3]
CeAgW2O8 at its PBEsol-relaxed geometry. Source: Alexandria via LeMat-Bulk, functional SCAN.

- D(E_F) (states/eV per cell) = 11.0
- total magnetic moment (μB per formula unit) = 1.0
- theoretical density (g/cm3) = 7.8
- DFT total energy (eV/atom) = -24.473
- symmetry = C2/m (12)
- E_form (uncorrected) (kJ/mol of formula units) = -2751

Unit cell a=7.4433 b=7.4433 c=7.2483 alpha=114.74 beta=114.74 gamma=94.30
Closest atoms and distances in Å follow each position.
Fractional coordinates of all 24 atoms:
Ce 0.1970 0.8030 0.0000  8 O 2.34-2.61
Ce 0.8030 0.1970 0.0000  8 O 2.34-2.61
Ag 0.1937 0.1937 0.5203  2 O 2.29-2.40
Ag 0.8063 0.8063 0.4797  2 O 2.29-2.40
W 0.2865 0.2865 0.0223  3 O 1.80-1.87
W 0.3392 0.6608 0.5000  4 O 1.79-1.91
W 0.6608 0.3392 0.5000  4 O 1.79-1.91
W 0.7135 0.7135 0.9777  3 O 1.80-1.87
O 0.0542 0.0542 0.8517  1 W 1.87
O 0.1528 0.3965 0.2387  2 W 1.91-2.12
O 0.1864 0.7095 0.6413  1 W 1.79
O 0.1969 0.4519 0.9026  1 W 1.80
O 0.2905 0.8136 0.3587  1 W 1.79
O 0.3965 0.1528 0.2387  2 W 1.91-2.12
O 0.4519 0.1969 0.9026  1 W 1.80
O 0.4799 0.4799 0.6627  3 W 2.04-2.19
O 0.5201 0.5201 0.3373  3 W 2.04-2.19
O 0.5481 0.8031 0.0974  1 W 1.80
O 0.6035 0.8472 0.7613  2 W 1.91-2.12
O 0.7095 0.1864 0.6413  1 W 1.79
O 0.8031 0.5481 0.0974  1 W 1.80
O 0.8136 0.2905 0.3587  1 W 1.79
O 0.8472 0.6035 0.7613  2 W 1.91-2.12
O 0.9458 0.9458 0.1483  1 W 1.87

=====

[4]
Ca2OsC at its PBEsol-relaxed geometry. Source: Alexandria via LeMat-Bulk, functional SCAN.

- D(E_F) (states/eV per cell) = 2.6
- total magnetic moment (μB per formula unit) = 0.0
- theoretical density (g/cm3) = 5.0
- DFT total energy (eV/atom) = -25.287
- symmetry = I-42d (122)
- ΔE_f (kcal/mol of atoms) = 0.9

Unit cell a=7.1988 b=7.1988 c=7.1988 alpha=94.15 beta=94.15 gamma=148.78
Closest atoms and distances in Å follow each position.
Fractional coordinates of all 8 atoms:
Ca 0.3750 0.1881 0.3131  2 C 2.57
Ca 0.8119 0.1250 0.1869  2 C 2.57
Ca 0.8750 0.0619 0.6869  2 C 2.57
Ca 0.9381 0.6250 0.8131  2 C 2.57
Os 0.2500 0.7500 0.5000  2 C 1.94
Os 0.5000 0.5000 0.0000  2 C 1.94
C 0.0000 0.0000 0.0000  2 Os 1.94
C 0.7500 0.2500 0.5000  2 Os 1.94

=====

[5]
CdP2Pb at its PBEsol-relaxed geometry. Source: Alexandria via LeMat-Bulk, functional SCAN.

- D(E_F) (states/eV per cell) = 2.2
- total magnetic moment (μB per formula unit) = 0.0
- theoretical density (g/cm3) = 7.5
- DFT total energy (eV/atom) = -31.519
- symmetry = R-3m (166)
- ΔE_f (kcal/mol of atoms) = 5.3

Unit cell a=6.7171 b=6.7171 c=6.7171 alpha=34.06 beta=34.06 gamma=34.06
Closest atoms and distances in Å follow each position.
Fractional coordinates of all 4 atoms:
Cd 0.0000 0.0000 0.0000  6 P 2.70
P 0.2565 0.2565 0.2565  3 Cd 2.70, 3 Pb 2.84
P 0.7435 0.7435 0.7435  3 Cd 2.70, 3 Pb 2.84
Pb 0.5000 0.5000 0.5000  6 P 2.84

=====

[6]
YFe2Rh at its PBEsol-relaxed geometry. Source: Alexandria via LeMat-Bulk, functional SCAN.

- D(E_F) (states/eV per cell) = 2.6
- total magnetic moment (μB per formula unit) = 6.1
- theoretical density (g/cm3) = 8.1
- DFT total energy (eV/atom) = -24.577
- symmetry = Immm (71)
- ΔE_f (kcal/mol of atoms) = -2.5

Unit cell a=5.2261 b=5.2261 c=5.2261 alpha=143.09 beta=132.85 gamma=61.34
Closest atoms and distances in Å follow each position.
Fractional coordinates of all 4 atoms:
Y 0.0000 0.0000 0.0000  4 Rh 2.67, 4 Fe 2.88
Fe 0.2628 0.7628 0.5000  4 Fe 2.68, 2 Rh 2.70, 4 Y 2.88-2.99
Fe 0.7372 0.2372 0.5000  4 Fe 2.68, 2 Rh 2.70, 4 Y 2.88-2.99
Rh 0.5000 0.5000 0.0000  4 Y 2.67, 4 Fe 2.70

=====

[7]
CdPb2 at its PBEsol-relaxed geometry. Source: Alexandria via LeMat-Bulk, functional SCAN.

- D(E_F) (states/eV per cell) = 2.8
- total magnetic moment (μB per formula unit) = 0.0
- theoretical density (g/cm3) = 10.7
- DFT total energy (eV/atom) = -60.599
- symmetry = Cmcm (63)
- ΔE_f (kcal/mol of atoms) = 1.4
- ΔE to the lowest computed polymorph (meV/atom) = 35.1

Unit cell a=7.5615 b=7.5615 c=4.9921 alpha=90.00 beta=90.00 gamma=145.15
Closest atoms and distances in Å follow each position.
Fractional coordinates of all 6 atoms:
Cd 0.0798 0.9202 0.7500  10 Pb 3.23-3.55, 2 Cd 3.40
Cd 0.9202 0.0798 0.2500  10 Pb 3.23-3.55, 2 Cd 3.40
Pb 0.2551 0.7449 0.2500  4 Cd 3.29-3.55, 8 Pb 3.37-3.45
Pb 0.4204 0.5796 0.7500  6 Cd 3.23-3.37, 6 Pb 3.39-3.45
Pb 0.5796 0.4204 0.2500  6 Cd 3.23-3.37, 6 Pb 3.39-3.45
Pb 0.7449 0.2551 0.7500  4 Cd 3.29-3.55, 8 Pb 3.37-3.45

=====

[8]
Cu2MoPt at its PBEsol-relaxed geometry. Source: Alexandria via LeMat-Bulk, functional SCAN.

- D(E_F) (states/eV per cell) = 2.3
- total magnetic moment (μB per formula unit) = 0.0
- theoretical density (g/cm3) = 13.1
- DFT total energy (eV/atom) = -33.953
- symmetry = P4mm (99)
- ΔE_f (kcal/mol of atoms) = -1.9
- ΔE to the lowest computed polymorph (meV/atom) = 0.0

Unit cell a=2.6974 b=2.6974 c=7.2628 alpha=90.00 beta=90.00 gamma=90.00
Closest atoms and distances in Å follow each position.
Fractional coordinates of all 4 atoms:
Cu 0.0000 0.0000 0.0000  8 Cu 2.48-2.70, 4 Pt 2.66
Cu 0.5000 0.5000 0.2184  8 Cu 2.48-2.70, 4 Mo 2.67
Mo 0.0000 0.0000 0.4761  4 Cu 2.67, 4 Mo 2.70, 4 Pt 2.73
Pt 0.5000 0.5000 0.7449  4 Cu 2.66, 4 Pt 2.70, 4 Mo 2.73

=====

[9]
CaTi2O4 at its PBEsol-relaxed geometry. Source: Alexandria via LeMat-Bulk, functional SCAN.

- D(E_F) (states/eV per cell) = 4.9
- total magnetic moment (μB per formula unit) = 0.0
- theoretical density (g/cm3) = 4.5
- DFT total energy (eV/atom) = -12.765
- symmetry = Cmcm (63)
- ΔE to the lowest computed polymorph (meV/atom) = 0.0
- E_form (uncorrected) (kJ/mol of formula units) = -2191

Unit cell a=5.0905 b=5.0905 c=10.0389 alpha=90.00 beta=90.00 gamma=145.42
Closest atoms and distances in Å follow each position.
Fractional coordinates of all 14 atoms:
Ca 0.1198 0.8802 0.7500  6 O 2.33-2.35
Ca 0.8802 0.1198 0.2500  6 O 2.33-2.35
Ti 0.3756 0.6244 0.5650  6 O 1.95-2.10
Ti 0.3756 0.6244 0.9350  6 O 1.95-2.10
Ti 0.6244 0.3756 0.0650  6 O 1.95-2.10
Ti 0.6244 0.3756 0.4350  6 O 1.95-2.10
O 0.0000 0.0000 0.0000  4 Ti 2.04
O 0.0000 0.0000 0.5000  4 Ti 2.04
O 0.2673 0.7327 0.1074  3 Ti 2.03-2.10
O 0.2673 0.7327 0.3926  3 Ti 2.03-2.10
O 0.4378 0.5622 0.7500  2 Ti 1.95
O 0.5622 0.4378 0.2500  2 Ti 1.95
O 0.7327 0.2673 0.6074  3 Ti 2.03-2.10
O 0.7327 0.2673 0.8926  3 Ti 2.03-2.10

=====

[10]
TaOs2Ru at its PBEsol-relaxed geometry. Source: Alexandria via LeMat-Bulk, functional SCAN.

- D(E_F) (states/eV per cell) = 3.3
- total magnetic moment (μB per formula unit) = 0.0
- theoretical density (g/cm3) = 18.8
- DFT total energy (eV/atom) = -61.444
- symmetry = I4/mmm (139)
- ΔE_f (kcal/mol of atoms) = -3.5
- ΔE to the lowest computed polymorph (meV/atom) = 59.2

Unit cell a=4.7867 b=4.7867 c=4.7867 alpha=132.48 beta=132.48 gamma=69.48
Closest atoms and distances in Å follow each position.
Fractional coordinates of all 4 atoms:
Ta 0.0000 0.0000 0.0000  4 Ru 2.73, 8 Os 2.75
Os 0.2500 0.7500 0.5000  4 Os 2.73, 4 Ru 2.75, 4 Ta 2.75
Os 0.7500 0.2500 0.5000  4 Os 2.73, 4 Ru 2.75, 4 Ta 2.75
Ru 0.5000 0.5000 0.0000  4 Ta 2.73, 8 Os 2.75

=====

[11]
MnCdTc2 at its PBEsol-relaxed geometry. Source: Alexandria via LeMat-Bulk, functional SCAN.

- D(E_F) (states/eV per cell) = 2.8
- total magnetic moment (μB per formula unit) = 0.0
- theoretical density (g/cm3) = 10.6
- DFT total energy (eV/atom) = -29.409
- symmetry = P4/mmm (123)
- ΔE_f (kcal/mol of atoms) = 6.7

Unit cell a=2.7061 b=2.7061 c=7.7486 alpha=90.00 beta=90.00 gamma=90.00
Closest atoms and distances in Å follow each position.
Fractional coordinates of all 4 atoms:
Mn 0.0000 0.0000 0.0000  8 Tc 2.52, 4 Mn 2.71
Cd 0.0000 0.0000 0.5000  4 Cd 2.71, 8 Tc 2.94
Tc 0.5000 0.5000 0.2117  4 Mn 2.52, 4 Tc 2.71
Tc 0.5000 0.5000 0.7883  4 Mn 2.52, 4 Tc 2.71

=====

[12]
MgMo2 at its PBEsol-relaxed geometry. Source: Alexandria via LeMat-Bulk, functional SCAN.

- D(E_F) (states/eV per cell) = 3.5
- total magnetic moment (μB per formula unit) = 0.0
- theoretical density (g/cm3) = 7.2
- DFT total energy (eV/atom) = -24.113
- symmetry = I4/mcm (140)
- ΔE_f (kcal/mol of atoms) = 18.5

Unit cell a=5.0986 b=5.0986 c=5.0986 alpha=104.16 beta=104.16 gamma=120.71
Closest atoms and distances in Å follow each position.
Fractional coordinates of all 6 atoms:
Mg 0.2500 0.2500 0.0000  2 Mg 2.52, 8 Mo 2.76
Mg 0.7500 0.7500 0.0000  2 Mg 2.52, 8 Mo 2.76
Mo 0.1321 0.6321 0.7641  1 Mo 2.34
Mo 0.3679 0.1321 0.5000  1 Mo 2.34
Mo 0.6321 0.8679 0.5000  1 Mo 2.34
Mo 0.8679 0.3679 0.2359  1 Mo 2.34

=====

- Look up the DFT total energy of the sixth one.
  -24.577 eV/atom

=====

- Which formula does entry 8 have?
  Cu2MoPt